The following is a PBE calculation of a relaxed Ac2SmRh crystal, from Alexandria via LeMat-Bulk.

a = 7.5860 Å, b = 10.4641 Å, c = 6.7551 Å
α = 90.00°, β = 90.00°, γ = 90.00°
Fractional positions:
Ac (0.1754, 0.0691, 0.1722)
Ac (0.1754, 0.4309, 0.1722)
Ac (0.3246, 0.5691, 0.6722)
Ac (0.3246, 0.9309, 0.6722)
Ac (0.6754, 0.0691, 0.3278)
Ac (0.6754, 0.4309, 0.3278)
Ac (0.8246, 0.5691, 0.8278)
Ac (0.8246, 0.9309, 0.8278)
Sm (0.0416, 0.2500, 0.6657)
Sm (0.4584, 0.7500, 0.1657)
Sm (0.5416, 0.2500, 0.8343)
Sm (0.9584, 0.7500, 0.3343)
Rh (0.1275, 0.7500, 0.9517)
Rh (0.3725, 0.2500, 0.4517)
Rh (0.6275, 0.7500, 0.5483)
Rh (0.8725, 0.2500, 0.0483)

Results
- energy relative to the elements (meV/atom) = -405
- space group = Pnma, No. 62
- total moment (μB per cell) = 0.000
- Fermi-level density of states (states/eV/atom) = 1.09